Record 1
The following is a DFT calculation (GGA-PBEsol) of a relaxed SiTcSe2 crystal.

## Properties
Formation energy (no corrections) ... 2.33 kcal/mol of atoms
Density of states at the Fermi level ... 3.0 states/eV/f.u.

a = 3.0656 Å, b = 3.0656 Å, c = 8.6108 Å
α = 79.75°, β = 79.75°, γ = 60.00°
Closest atoms and distances in Å follow each position.
Fractional positions:
Se  0.2621  0.2621  0.2137  3 Tc 2.52
Se  0.7379  0.7379  0.7863  3 Tc 2.52
Si  0.5000  0.5000  0.5000  6 Se 2.99, 6 Si 3.07
Tc  0.0000  0.0000  0.0000  6 Se 2.52

Record 2
The following is a DFT calculation (GGA-PBEsol) of a relaxed SiTcSe crystal.

## Properties
E above lowest polymorph ... 298 meV per atom
Formation energy (no corrections) ... 12.15 kcal/mol of atoms
Density of states at the Fermi level ... 2.8 states/eV/f.u.

a = 4.1409 Å, b = 4.1409 Å, c = 4.1409 Å
α = 60.00°, β = 60.00°, γ = 60.00°
Closest atoms and distances in Å follow each position.
Fractional positions:
Si  0.7500  0.7500  0.7500  4 Se 2.54, 4 Tc 2.54
Tc  0.0000  0.0000  0.0000  4 Si 2.54
Se  0.5000  0.5000  0.5000  4 Si 2.54

Record 3
The following is a DFT calculation (GGA-PBEsol) of a relaxed SiTcSe2 crystal.

## Properties
Formation energy (no corrections) ... 10.35 kcal/mol of atoms
Density of states at the Fermi level ... 3.1 states/eV/f.u.

a = 2.8738 Å, b = 2.8738 Å, c = 9.1994 Å
α = 90.00°, β = 90.00°, γ = 116.92°
Closest atoms and distances in Å follow each position.
Fractional positions:
Se  0.0000  0.0000  0.2211  2 Tc 2.53
Se  0.0000  0.0000  0.7789  2 Tc 2.53
Si  0.5000  0.5000  0.5000  6 Si 2.87-3.01, 4 Se 2.97
Tc  0.5000  0.5000  0.0000  4 Se 2.53